A plane-wave DFT calculation with GGA-PBE was carried out for crystalline Pr2Nd2CI2Br3 at its relaxed geometry.

Unit cell a=19.168 b=4.034 c=8.515 alpha=90.00 beta=103.39 gamma=90.00
Space group C2/m (No. 12)
Unique sites:
Pr (0.000, 0.000, 0.207) (multiplicity 4)
Nd (0.136, 0.500, 0.074) (multiplicity 4)
C (0.000, 0.500, 0.000) (multiplicity 2)
I (0.171, 0.000, 0.813) (multiplicity 4)
Br (0.000, 0.500, 0.500) (multiplicity 2)
Br (0.161, 0.000, 0.338) (multiplicity 4)

Results
Theoretical density ... 5.6 g/cm3
Size of the total moment ... 0.311 μB per cell
Final energy ... -4.9503 eV per atom
Energy above the most stable polymorph in this dataset ... 0.00 eV/f.u.

***

A plane-wave DFT calculation with GGA-PBE was carried out for crystalline Pr2Nd2CI4Br at its relaxed geometry.

Unit cell a=19.516 b=4.084 c=8.660 alpha=90.00 beta=102.36 gamma=90.00
Space group C2/m (No. 12)
Unique sites:
Pr (0.001, 0.000, 0.296) (multiplicity 4)
Nd (0.133, 0.500, 0.567) (multiplicity 4)
C (0.000, 0.500, 0.500) (multiplicity 2)
I (0.165, 0.000, 0.850) (multiplicity 4)
I (0.171, 0.000, 0.316) (multiplicity 4)
Br (0.000, 0.500, 0.000) (multiplicity 2)

Results
Theoretical density ... 5.8 g/cm3
Size of the total moment ... 0.016 μB per cell
Final energy ... -4.7940 eV per atom
Energy above the most stable polymorph in this dataset ... 0.00 eV/f.u.

***

A plane-wave DFT calculation with GGA-PBE was carried out for crystalline Pr2Nd2CI4Br at its relaxed geometry.

Unit cell a=19.468 b=4.067 c=8.670 alpha=90.00 beta=102.51 gamma=90.00
Space group C2/m (No. 12)
Unique sites:
Pr (0.135, 0.000, 0.068) (multiplicity 4)
Nd (0.001, 0.500, 0.798) (multiplicity 4)
C (0.000, 0.000, 0.000) (multiplicity 2)
I (0.163, 0.500, 0.355) (multiplicity 4)
I (0.170, 0.500, 0.811) (multiplicity 4)
Br (0.000, 0.000, 0.500) (multiplicity 2)

Results
Theoretical density ... 5.8 g/cm3
Size of the total moment ... 0.016 μB per cell
Final energy ... -4.7896 eV per atom
Energy above the most stable polymorph in this dataset ... 0.04 eV/f.u.

***

A plane-wave DFT calculation with GGA-PBE was carried out for crystalline Pr2Nd2CI2Br3 at its relaxed geometry.

Unit cell a=18.854 b=4.040 c=8.552 alpha=90.00 beta=101.39 gamma=90.00
Space group C2/m (No. 12)
Unique sites:
Pr (0.003, 0.000, 0.295) (multiplicity 4)
Nd (0.136, 0.500, 0.564) (multiplicity 4)
C (0.000, 0.500, 0.500) (multiplicity 2)
I (0.167, 0.000, 0.850) (multiplicity 4)
Br (0.000, 0.500, 0.000) (multiplicity 2)
Br (0.169, 0.000, 0.329) (multiplicity 4)

Results
Theoretical density ... 5.6 g/cm3
Size of the total moment ... 0.567 μB per cell
Final energy ... -4.9414 eV per atom
Energy above the most stable polymorph in this dataset ... 0.09 eV/f.u.

***

A plane-wave DFT calculation with GGA-PBE was carried out for crystalline Pr2Nd2CI2Br3 at its relaxed geometry.

Unit cell a=19.142 b=4.019 c=8.491 alpha=90.00 beta=102.93 gamma=90.00
Space group C2/m (No. 12)
Unique sites:
Pr (0.137, 0.000, 0.074) (multiplicity 4)
Nd (0.000, 0.500, 0.205) (multiplicity 4)
C (0.000, 0.000, 0.000) (multiplicity 2)
I (0.171, 0.500, 0.806) (multiplicity 4)
Br (0.000, 0.000, 0.500) (multiplicity 2)
Br (0.158, 0.500, 0.342) (multiplicity 4)

Results
Theoretical density ... 5.6 g/cm3
Size of the total moment ... 0.197 μB per cell
Final energy ... -4.9489 eV per atom
Energy above the most stable polymorph in this dataset ... 0.01 eV/f.u.

***

A plane-wave DFT calculation with GGA-PBE was carried out for crystalline Nd2Sc2CI4Br at its relaxed geometry.

Unit cell a=20.807 b=3.910 c=8.446 alpha=90.00 beta=101.43 gamma=90.00
Space group C2/m (No. 12)
Unique sites:
Nd (0.000, 0.000, 0.206) (multiplicity 4)
Sc (0.110, 0.500, 0.054) (multiplicity 4)
C (0.000, 0.500, 0.000) (multiplicity 2)
I (0.156, 0.000, 0.315) (multiplicity 4)
I (0.156, 0.000, 0.837) (multiplicity 4)
Br (0.000, 0.500, 0.500) (multiplicity 2)

Results
Theoretical density ... 4.8 g/cm3
Size of the total moment ... 0.557 μB per cell
Final energy ... -5.0804 eV per atom

***

A plane-wave DFT calculation with GGA-PBE was carried out for crystalline Nd2Sm2C2I4Br at its relaxed geometry.

Unit cell a=20.253 b=4.009 c=8.530 alpha=90.00 beta=103.22 gamma=90.00
Space group C2/m (No. 12)
Unique sites:
Nd (0.000, 0.000, 0.199) (multiplicity 4)
Sm (0.149, 0.500, 0.088) (multiplicity 4)
C (0.036, 0.500, 0.020) (multiplicity 4)
I (0.161, 0.000, 0.370) (multiplicity 4)
I (0.168, 0.000, 0.820) (multiplicity 4)
Br (0.000, 0.500, 0.500) (multiplicity 2)

Results
Theoretical density ... 5.9 g/cm3
Size of the total moment ... 0.017 μB per cell
Final energy ... -5.2490 eV per atom
Energy above the most stable polymorph in this dataset ... 0.00 eV/f.u.

***

A plane-wave DFT calculation with GGA-PBE was carried out for crystalline Nd2Sm2C2I2Br3 at its relaxed geometry.

Unit cell a=20.031 b=3.967 c=8.360 alpha=90.00 beta=103.86 gamma=90.00
Space group C2/m (No. 12)
Unique sites:
Nd (0.001, 0.000, 0.202) (multiplicity 4)
Sm (0.151, 0.500, 0.097) (multiplicity 4)
C (0.036, 0.500, 0.022) (multiplicity 4)
I (0.168, 0.000, 0.816) (multiplicity 4)
Br (0.000, 0.500, 0.500) (multiplicity 2)
Br (0.158, 0.000, 0.358) (multiplicity 4)

Results
Theoretical density ... 5.7 g/cm3
Size of the total moment ... 0.019 μB per cell
Final energy ... -5.3943 eV per atom
Energy above the most stable polymorph in this dataset ... 0.00 eV/f.u.

***

A plane-wave DFT calculation with GGA-PBE was carried out for crystalline Nd2Sm2C2I4Br at its relaxed geometry.

Unit cell a=20.194 b=3.984 c=8.579 alpha=90.00 beta=103.68 gamma=90.00
Space group C2/m (No. 12)
Unique sites:
Nd (0.151, 0.000, 0.091) (multiplicity 4)
Sm (0.000, 0.500, 0.195) (multiplicity 4)
C (0.036, 0.000, 0.021) (multiplicity 4)
I (0.159, 0.500, 0.376) (multiplicity 4)
I (0.165, 0.500, 0.813) (multiplicity 4)
Br (0.000, 0.000, 0.500) (multiplicity 2)

Results
Theoretical density ... 5.9 g/cm3
Size of the total moment ... 0.013 μB per cell
Final energy ... -5.2213 eV per atom
Energy above the most stable polymorph in this dataset ... 0.31 eV/f.u.

***

A plane-wave DFT calculation with GGA-PBE was carried out for crystalline Nd2Sm2C2I3Br2 at its relaxed geometry.

Unit cell a=20.035 b=3.980 c=8.584 alpha=90.00 beta=104.42 gamma=90.00
Space group C2/m (No. 12)
Unique sites:
Nd (0.153, 0.000, 0.101) (multiplicity 4)
Sm (0.002, 0.500, 0.192) (multiplicity 4)
C (0.036, 0.000, 0.022) (multiplicity 4)
I (0.000, 0.000, 0.500) (multiplicity 2)
I (0.165, 0.500, 0.817) (multiplicity 4)
Br (0.156, 0.500, 0.357) (multiplicity 4)

Results
Theoretical density ... 5.8 g/cm3
Size of the total moment ... 0.010 μB per cell
Final energy ... -5.3084 eV per atom
Energy above the most stable polymorph in this dataset ... 0.00 eV/f.u.

***

A plane-wave DFT calculation with GGA-PBE was carried out for crystalline Nd2Sm2C2IBr4 at its relaxed geometry.

Unit cell a=19.372 b=3.962 c=8.612 alpha=90.00 beta=104.64 gamma=90.00
Space group C2/m (No. 12)
Unique sites:
Nd (0.000, 0.000, 0.192) (multiplicity 4)
Sm (0.156, 0.500, 0.097) (multiplicity 4)
C (0.038, 0.500, 0.023) (multiplicity 4)
I (0.000, 0.500, 0.500) (multiplicity 2)
Br (0.163, 0.000, 0.350) (multiplicity 4)
Br (0.169, 0.000, 0.847) (multiplicity 4)

Results
Theoretical density ... 5.5 g/cm3
Size of the total moment ... 0.018 μB per cell
Final energy ... -5.4623 eV per atom
Energy above the most stable polymorph in this dataset ... 0.00 eV/f.u.

***

A plane-wave DFT calculation with GGA-PBE was carried out for crystalline Nd2Sm2C2I2Br3 at its relaxed geometry.

Unit cell a=19.614 b=3.965 c=8.381 alpha=90.00 beta=102.97 gamma=90.00
Space group C2/m (No. 12)
Unique sites:
Nd (0.002, 0.000, 0.300) (multiplicity 4)
Sm (0.153, 0.500, 0.587) (multiplicity 4)
C (0.037, 0.500, 0.521) (multiplicity 4)
I (0.164, 0.000, 0.875) (multiplicity 4)
Br (0.000, 0.500, 0.000) (multiplicity 2)
Br (0.170, 0.000, 0.335) (multiplicity 4)

Results
Theoretical density ... 5.8 g/cm3
Size of the total moment ... 0.018 μB per cell
Final energy ... -5.3865 eV per atom
Energy above the most stable polymorph in this dataset ... 0.09 eV/f.u.